! As2HRuW (PBE, optimized geometry); values from VASP
&SYSTEM
  ibrav = 0, nat = 5, ntyp = 4
/
ATOMIC_SPECIES
W 183.84 W.upf
As 74.92 As.upf
Ru 101.07 Ru.upf
H 1.01 H.upf
CELL_PARAMETERS angstrom
4.404 0.000 0.000
0.000 3.302 0.000
0.000 0.000 4.404
ATOMIC_POSITIONS angstrom
W 2.202 1.651 2.202
As 0.000 0.000 2.202
As 2.202 0.000 0.000
Ru 0.000 1.651 0.000
H 0.000 0.000 0.000
! * total DFT energy (no corrections): -6.67 eV/atom
! * total magnetic moment: 0.00 μB/cell